Record 1
# La3PrTl3 (PBE, relaxed)
# mass density: 8.302 Mg/m³
# spin magnetization: 0.00 μB per formula unit
# final energy: -115.64 eV for the cell shown
# energy of formation from the pure elements: -0.3212 eV per atom
data_La3PrTl3
_chemical_formula_sum 'La12 Pr4 Tl12'
_symmetry_space_group_name_H-M 'P 21 3'
_symmetry_Int_Tables_number 198
_symmetry_space_group_name_Hall 'P 2ac 2ab 3'
_cell_length_a 9.7845
_cell_length_b 9.7845
_cell_length_c 9.7845
_cell_angle_alpha 90.00
_cell_angle_beta 90.00
_cell_angle_gamma 90.00
loop_
_atom_site_label
_atom_site_fract_x
_atom_site_fract_y
_atom_site_fract_z
La1 0.0732 0.4268 0.5732
La2 0.1743 0.8257 0.3257
La3 0.1745 0.1745 0.1745
Pr1 0.0752 0.5752 0.9248
Tl1 0.0003 0.2526 0.8732

Record 2
# LaPr3Tl3 (PBE, relaxed)
# mass density: 8.613 Mg/m³
# spin magnetization: 0.00 μB per formula unit
# final energy: -56.55 eV for the cell shown
# energy of formation from the pure elements: -0.2729 eV per atom
data_LaPr3Tl3
_chemical_formula_sum 'La2 Pr6 Tl6'
_symmetry_space_group_name_H-M 'P 63/m'
_symmetry_Int_Tables_number 176
_symmetry_space_group_name_Hall '-P 6c'
_cell_length_a 9.8620
_cell_length_b 9.8620
_cell_length_c 5.3780
_cell_angle_alpha 90.00
_cell_angle_beta 90.00
_cell_angle_gamma 120.00
loop_
_atom_site_label
_atom_site_fract_x
_atom_site_fract_y
_atom_site_fract_z
La1 0.3333 0.6667 0.2500
Pr1 0.0027 0.2413 0.7500
Tl1 0.0697 0.6185 0.7500

> Number 1 is which compound?

La3PrTl3

> Look up the energy of formation from the pure elements of the first one.

-0.3212 eV per atom

> Number 2 is which compound?

LaPr3Tl3

> Among the records above, which one has the lowest final energy?

La3PrTl3